Computed, not measured: a relaxed structure of In3Co at the PBEsol level of DFT.

## Properties
V = 161 Å³/cell
crystal system = orthorhombic
energy relative to the elements = 0.04 eV/atom

Structure (CIF):
```
data_In3Co
_chemical_formula_sum 'In6 Co2'
_cell_length_a 2.890
_cell_length_b 4.357
_cell_length_c 12.766
_cell_angle_alpha 90.00
_cell_angle_beta 90.00
_cell_angle_gamma 90.00
_space_group_name_H-M_alt 'I m m m'
_space_group_IT_number 71
_space_group_name_Hall '-I 2 2'
loop_
_atom_site_label
_atom_site_type_symbol
_atom_site_fract_x
_atom_site_fract_y
_atom_site_fract_z
In1 In 0.000 0.000 0.000
In2 In 0.000 0.500 0.178
Co1 Co 0.000 0.000 0.500
```